# 1
Entry from the Alexandria database: K2TlOF after structural relaxation (PBE-GGA).

Cell: 3.8815 4.9152 7.4890 Å, 109.16 105.02 90.00°
Atoms (fractional coordinates):
1 O 0.6329 0.1329 0.2659
2 Tl 0.6367 0.6367 0.2734
3 K 0.9950 0.9950 0.9900
4 K 0.2653 0.2653 0.5306
5 F 0.4531 0.4531 0.9062

mass density	4.1	g/cm3
symmetry	Imm2
calculated total energy	-3.694	eV per atom
Fermi-level density of states	1.267	states/eV/cell

=====

# 2
Entry from the Alexandria database: Na2CdP2S6 after structural relaxation (PBE-GGA).

Cell: 6.7055 6.7055 6.5842 Å, 90.00 90.00 120.00°
Atoms (fractional coordinates):
1 Cd 0.0000 0.0000 0.0000
2 S 0.0852 0.3497 0.7358
3 S 0.3497 0.2646 0.2642
4 S 0.2646 0.9148 0.7358
5 S 0.6503 0.7354 0.7358
6 S 0.7354 0.0852 0.2642
7 S 0.9148 0.6503 0.2642
8 P 0.3333 0.6667 0.8424
9 P 0.6667 0.3333 0.1576
10 Na 0.6667 0.3333 0.6439
11 Na 0.3333 0.6667 0.3561

mass density	2.7	g/cm3
symmetry	P-3
calculated total energy	-4.027	eV per atom
Fermi-level density of states	3.198	states/eV/cell

=====

- Among the records above, which one has the lowest Fermi-level density of states?
  K2TlOF